NaPm2VO5: relaxed, PBE+U.

```
data_NaPm2VO5
_chemical_formula_sum 'Na2 Pm4 V2 O10'
_symmetry_space_group_name_H-M 'P 4/m b m'
_symmetry_Int_Tables_number 127
_symmetry_space_group_name_Hall '-P 4 2ab'
_cell_length_a 6.7620
_cell_length_b 6.7620
_cell_length_c 5.6959
_cell_angle_alpha 90.00
_cell_angle_beta 90.00
_cell_angle_gamma 90.00
loop_
_atom_site_label
_atom_site_fract_x
_atom_site_fract_y
_atom_site_fract_z
Na1 0.0000 0.0000 0.0000
Pm1 0.1777 0.3223 0.5000
V1 0.0000 0.5000 0.0000
O1 0.0000 0.0000 0.5000
O2 0.1329 0.6329 0.2422
```

Calculated values
Total energy (eV/cell): -131.91